## MnIn6Br8 (PBE-GGA)

Data for crystalline MnIn6Br8 at its relaxed geometry.

E_form (uncorrected): -0.671 eV/atom
energy: -3.270 eV per atom
total magnetic moment: 4.98 μB/f.u.
space-group type: No. 148

Unit cell a=8.4917 b=8.4917 c=8.4917 alpha=71.45 beta=71.45 gamma=71.45
Positions (direct):
Mn: 0.0000 0.0000 0.0000
In: 0.0489 0.7060 0.4671
In: 0.2940 0.5329 0.9511
In: 0.4671 0.0489 0.7060
In: 0.5329 0.9511 0.2940
In: 0.7060 0.4671 0.0489
In: 0.9511 0.2940 0.5329
Br: 0.0806 0.3072 0.8565
Br: 0.1435 0.9194 0.6928
Br: 0.3072 0.8565 0.0806
Br: 0.3250 0.3250 0.3250
Br: 0.6750 0.6750 0.6750
Br: 0.6928 0.1435 0.9194
Br: 0.8565 0.0806 0.3072
Br: 0.9194 0.6928 0.1435